Entry 1:
## Ce4Hg2B (GGA-PBE)

Data for a relaxed structure of Ce4Hg2B.

Values from the calculation:
The calculation puts the final energy at -4.515 eV per atom. For the total magnetic moment, the calculation gives 2.60 Bohr magnetons per cell. Its space group is I4/mmm (139).

abc: 5.072 5.072 8.474
angles: 107.42 107.42 90.00
Each line ends with the local moment (μB).
Positions (direct):
1 Hg 0.369 0.369 0.737  0.01
2 Hg 0.631 0.631 0.263  0.01
3 Ce 0.000 0.500 0.000  0.31
4 Ce 0.500 0.000 0.000  0.31
5 Ce 0.170 0.170 0.340  0.80
6 Ce 0.830 0.830 0.660  0.80
7 B 0.000 0.000 0.000  -0.03

=====

Entry 2:
## MgP2IrO (GGA-PBE)

Data for a relaxed structure of MgP2IrO.

Values from the calculation:
The energy relative to the elements, uncorrected is 0.74 eV per atom. The energy relative to the lowest polymorph listed for this composition is 4.26 eV per formula unit. For the total magnetic moment, the calculation gives 0.01 Bohr magnetons per cell. Its space group is P4/mmm (123).

abc: 4.824 4.824 3.478
angles: 90.00 90.00 90.00
Positions (direct):
1 P 0.000 0.500 0.000
2 P 0.500 0.000 0.000
3 Mg 0.000 0.000 0.000
4 O 0.000 0.000 0.500
5 Ir 0.500 0.500 0.500